# 1
Entry from the Alexandria database: a relaxed NpSn2F8 crystal (GGA-PBE).

a b c (Å): 7.967 7.967 5.893
angles (deg): 109.66 109.66 29.56
Sites, in units of the cell vectors:
Np 0.000 0.000 0.000
Sn 0.331 0.331 0.383
Sn 0.669 0.669 0.617
F 0.100 0.100 0.401
F 0.128 0.128 0.940
F 0.278 0.278 0.676
F 0.495 0.495 0.787
F 0.505 0.505 0.213
F 0.722 0.722 0.324
F 0.872 0.872 0.060
F 0.900 0.900 0.599

Raw formation energy   -270.1 kJ/mol of atoms
M_tot   0.273 μB per atom
Energy above the lowest structure with this stoichiometry   0.0 meV/atom

# 2
Entry from the Alexandria database: a relaxed SrNp2F11 crystal (GGA-PBE).

a b c (Å): 8.886 8.886 8.886
angles (deg): 122.40 107.59 99.32
Sites, in units of the cell vectors:
Sr 0.250 0.250 0.000
Sr 0.750 0.750 0.000
Np 0.179 0.650 0.829
Np 0.321 0.150 0.471
Np 0.679 0.850 0.529
Np 0.821 0.350 0.171
F 0.000 0.500 0.500
F 0.057 0.955 0.281
F 0.058 0.363 0.163
F 0.175 0.455 0.898
F 0.200 0.895 0.837
F 0.215 0.364 0.578
F 0.285 0.864 0.149
F 0.300 0.137 0.695
F 0.325 0.224 0.281
F 0.442 0.605 0.305
F 0.443 0.724 0.898
F 0.500 0.000 0.500
F 0.557 0.276 0.102
F 0.558 0.395 0.695
F 0.675 0.776 0.719
F 0.700 0.863 0.305
F 0.715 0.136 0.851
F 0.785 0.636 0.422
F 0.800 0.105 0.163
F 0.825 0.545 0.102
F 0.942 0.637 0.837
F 0.943 0.045 0.719

Raw formation energy   -340.1 kJ/mol of atoms
M_tot   0.357 μB per atom

# 3
Entry from the Alexandria database: a relaxed SrNpF4 crystal (GGA-PBE).

a b c (Å): 6.842 6.842 6.842
angles (deg): 110.28 110.28 107.87
Sites, in units of the cell vectors:
Sr 0.375 0.625 0.750
Sr 0.625 0.375 0.250
Np 0.125 0.875 0.250
Np 0.875 0.125 0.750
F 0.095 0.659 0.436
F 0.277 0.341 0.936
F 0.341 0.277 0.436
F 0.341 0.905 0.064
F 0.659 0.095 0.936
F 0.659 0.723 0.564
F 0.723 0.659 0.064
F 0.905 0.341 0.564

Raw formation energy   -311.4 kJ/mol of atoms
M_tot   0.757 μB per atom

# 4
Entry from the Alexandria database: a relaxed Sr2NpF8 crystal (GGA-PBE).

a b c (Å): 7.641 7.641 5.600
angles (deg): 107.94 107.94 31.02
Sites, in units of the cell vectors:
Sr 0.181 0.181 0.184
Sr 0.819 0.819 0.816
Np 0.500 0.500 0.500
F 0.025 0.025 0.310
F 0.220 0.220 0.794
F 0.356 0.356 0.557
F 0.411 0.411 0.105
F 0.589 0.589 0.895
F 0.644 0.644 0.443
F 0.780 0.780 0.206
F 0.975 0.975 0.690

Raw formation energy   -359.2 kJ/mol of atoms
M_tot   0.273 μB per atom

# 5
Entry from the Alexandria database: a relaxed SrNpF5 crystal (GGA-PBE).

a b c (Å): 6.250 6.250 8.659
angles (deg): 108.69 108.69 72.70
Sites, in units of the cell vectors:
Sr 0.036 0.964 0.750
Sr 0.964 0.036 0.250
Np 0.500 0.500 0.000
Np 0.500 0.500 0.500
F 0.181 0.798 0.037
F 0.202 0.819 0.463
F 0.235 0.281 0.374
F 0.281 0.235 0.874
F 0.381 0.619 0.750
F 0.619 0.381 0.250
F 0.719 0.765 0.126
F 0.765 0.719 0.626
F 0.798 0.181 0.537
F 0.819 0.202 0.963

Raw formation energy   -346.0 kJ/mol of atoms
M_tot   0.571 μB per atom

# 6
Entry from the Alexandria database: a relaxed SrNpTlF6 crystal (GGA-PBE).

a b c (Å): 6.586 6.586 10.441
angles (deg): 90.00 90.00 120.00
Sites, in units of the cell vectors:
Sr 0.333 0.667 0.250
Sr 0.667 0.333 0.750
Np 0.333 0.667 0.750
Np 0.667 0.333 0.250
Tl 0.000 0.000 0.000
Tl 0.000 0.000 0.500
F 0.016 0.381 0.639
F 0.016 0.635 0.861
F 0.365 0.381 0.861
F 0.365 0.984 0.639
F 0.381 0.016 0.139
F 0.381 0.365 0.361
F 0.619 0.635 0.639
F 0.619 0.984 0.861
F 0.635 0.016 0.361
F 0.635 0.619 0.139
F 0.984 0.365 0.139
F 0.984 0.619 0.361

Raw formation energy   -305.5 kJ/mol of atoms
M_tot   0.445 μB per atom

# 7
Entry from the Alexandria database: a relaxed SrNpTl2F8 crystal (GGA-PBE).

a b c (Å): 4.052 8.245 6.685
angles (deg): 90.00 90.07 90.00
Sites, in units of the cell vectors:
Sr 0.000 0.000 0.000
Np 0.000 0.500 0.000
Tl 0.500 0.239 0.500
Tl 0.500 0.761 0.500
F 0.000 0.282 0.197
F 0.000 0.282 0.803
F 0.000 0.718 0.197
F 0.000 0.718 0.803
F 0.500 0.000 0.220
F 0.500 0.000 0.780
F 0.500 0.500 0.183
F 0.500 0.500 0.817

Raw formation energy   -293.7 kJ/mol of atoms
M_tot   0.250 μB per atom

# 8
Entry from the Alexandria database: a relaxed Tb2NpF11 crystal (GGA-PBE).

a b c (Å): 8.610 8.610 8.610
angles (deg): 123.71 105.90 99.84
Sites, in units of the cell vectors:
Tb 0.182 0.135 0.317
Tb 0.318 0.635 0.953
Tb 0.682 0.365 0.047
Tb 0.818 0.865 0.683
Np 0.250 0.750 0.500
Np 0.750 0.250 0.500
F 0.000 0.000 0.000
F 0.020 0.445 0.767
F 0.074 0.844 0.642
F 0.177 0.945 0.425
F 0.202 0.432 0.358
F 0.225 0.873 0.098
F 0.275 0.373 0.648
F 0.298 0.656 0.230
F 0.323 0.748 0.767
F 0.426 0.068 0.770
F 0.480 0.248 0.425
F 0.500 0.500 0.000
F 0.520 0.752 0.575
F 0.574 0.932 0.230
F 0.677 0.252 0.233
F 0.702 0.344 0.770
F 0.725 0.627 0.352
F 0.775 0.127 0.902
F 0.798 0.568 0.642
F 0.823 0.055 0.575
F 0.926 0.156 0.358
F 0.980 0.555 0.233

Raw formation energy   -357.3 kJ/mol of atoms
M_tot   0.143 μB per atom

Question: Number 6 is which compound?
Answer: SrNpTlF6